a.
# KMgC3 PBE-GGA relaxed
data_KMgC3
_chemical_formula_sum 'K1 Mg1 C3'
_cell_length_a 4.569
_cell_length_b 4.569
_cell_length_c 4.569
_cell_angle_alpha 90.00
_cell_angle_beta 90.00
_cell_angle_gamma 90.00
_symmetry_space_group_name_H-M 'P m -3 m'
_symmetry_Int_Tables_number 221
_symmetry_space_group_name_Hall '-P 4 2 3'
loop_
_atom_site_label
_atom_site_fract_x
_atom_site_fract_y
_atom_site_fract_z
_atom_site_occupancy
K1 0.000 0.000 0.000 1
Mg1 0.500 0.500 0.500 1
C1 0.000 0.000 0.500 1
# magnetic moment: 2.97 μB per cell

=====

b.
# KMgC3 PBE-GGA relaxed
data_KMgC3
_chemical_formula_sum 'K1 Mg1 C3'
_cell_length_a 4.333
_cell_length_b 4.333
_cell_length_c 4.333
_cell_angle_alpha 90.00
_cell_angle_beta 90.00
_cell_angle_gamma 90.00
_symmetry_space_group_name_H-M 'P m -3 m'
_symmetry_Int_Tables_number 221
_symmetry_space_group_name_Hall '-P 4 2 3'
loop_
_atom_site_label
_atom_site_fract_x
_atom_site_fract_y
_atom_site_fract_z
_atom_site_occupancy
K1 0.000 0.000 0.000 1
Mg1 0.500 0.500 0.500 1
C1 0.000 0.500 0.500 1
# magnetic moment: 0.00 μB per cell

=====

On energetic grounds, b is preferred over the next structure by 1237 meV/atom.

=====

a.
# In2RhCl PBE-GGA relaxed
data_In2RhCl
_chemical_formula_sum 'In4 Rh2 Cl2'
_cell_length_a 3.381
_cell_length_b 6.337
_cell_length_c 8.737
_cell_angle_alpha 90.00
_cell_angle_beta 90.00
_cell_angle_gamma 90.00
_symmetry_space_group_name_H-M 'I m m m'
_symmetry_Int_Tables_number 71
_symmetry_space_group_name_Hall '-I 2 2'
loop_
_atom_site_label
_atom_site_fract_x
_atom_site_fract_y
_atom_site_fract_z
_atom_site_occupancy
In1 0.000 0.000 0.234 1
Rh1 0.000 0.500 0.500 1
Cl1 0.000 0.500 0.000 1
# magnetic moment: 0.00 μB per cell

=====

b.
# In2RhCl PBE-GGA relaxed
data_In2RhCl
_chemical_formula_sum 'In6 Rh3 Cl3'
_cell_length_a 3.4981
_cell_length_b 3.4981
_cell_length_c 24.2980
_cell_angle_alpha 90.00
_cell_angle_beta 90.00
_cell_angle_gamma 120.00
_symmetry_space_group_name_H-M 'R -3 m'
_symmetry_Int_Tables_number 166
_symmetry_space_group_name_Hall '-R 3 2"'
loop_
_atom_site_label
_atom_site_fract_x
_atom_site_fract_y
_atom_site_fract_z
_atom_site_occupancy
In1 0.0000 0.0000 0.2404 1
Rh1 0.0000 0.0000 0.5000 1
Cl1 0.0000 0.0000 0.0000 1
# magnetic moment: 0.00 μB per cell

=====

On energetic grounds, b is preferred over the next structure by 391 meV/atom.

=====

a.
# KAl2Ni PBE-GGA relaxed
data_KAl2Ni
_chemical_formula_sum 'K1 Al2 Ni1'
_cell_length_a 3.233
_cell_length_b 3.233
_cell_length_c 8.060
_cell_angle_alpha 90.00
_cell_angle_beta 90.00
_cell_angle_gamma 90.00
_symmetry_space_group_name_H-M 'P 4 m m'
_symmetry_Int_Tables_number 99
loop_
_symmetry_equiv_pos_as_xyz
'x,y,z'
'-y,x,z'
'-x,-y,z'
'y,-x,z'
'-x,y,z'
'y,x,z'
'x,-y,z'
'-y,-x,z'
loop_
_atom_site_label
_atom_site_fract_x
_atom_site_fract_y
_atom_site_fract_z
_atom_site_occupancy
K1 0.000 0.000 0.000 1
Al1 0.000 0.000 0.430 1
Al2 0.500 0.500 0.654 1
Ni1 0.500 0.500 0.340 1
# magnetic moment: 0.00 μB per cell

=====

b.
# KAl2Ni PBE-GGA relaxed
data_KAl2Ni
_chemical_formula_sum 'K4 Al8 Ni4'
_cell_length_a 6.670
_cell_length_b 6.670
_cell_length_c 6.670
_cell_angle_alpha 90.00
_cell_angle_beta 90.00
_cell_angle_gamma 90.00
_symmetry_space_group_name_H-M 'F m -3 m'
_symmetry_Int_Tables_number 225
_symmetry_space_group_name_Hall '-F 4 2 3'
loop_
_atom_site_label
_atom_site_fract_x
_atom_site_fract_y
_atom_site_fract_z
_atom_site_occupancy
K1 0.000 0.000 0.000 1
Al1 0.250 0.250 0.250 1
Ni1 0.000 0.000 0.500 1
# magnetic moment: 0.00 μB per cell

=====

On energetic grounds, a is preferred over the next structure by 463 meV/atom.